A.
{"formula": "Pm2GaP", "functional": "PBE", "state": "optimized geometry", "n_ef_per_ev_atom": 0.660, "lattice_angstrom": [[2.062, -11.916, 0.000], [2.062, 11.916, 0.000], [0.000, 0.000, 4.197]], "species": ["Pm", "Pm", "Pm", "Pm", "Ga", "Ga", "P", "P"], "fractional_positions": [[0.071, 0.929, 0.750], [0.309, 0.691, 0.750], [0.691, 0.309, 0.250], [0.929, 0.071, 0.250], [0.466, 0.534, 0.750], [0.534, 0.466, 0.250], [0.189, 0.811, 0.750], [0.811, 0.189, 0.250]]}

=====

B.
{"formula": "Pm2GaP", "functional": "PBE", "state": "optimized geometry", "n_ef_per_ev_atom": 0.357, "lattice_angstrom": [[2.020, 1.166, 7.476], [-2.020, 1.166, 7.476], [0.000, -2.333, 7.476]], "species": ["Pm", "Pm", "Ga", "P"], "fractional_positions": [[0.240, 0.240, 0.240], [0.760, 0.760, 0.760], [0.000, 0.000, 0.000], [0.500, 0.500, 0.500]]}

=====

Taking the most stable structure as the zero point, the relative energies in meV per atom are A 0; B 92.

=====

A.
{"formula": "Pm2GaP", "functional": "PBE", "state": "optimized geometry", "n_ef_per_ev_atom": 0.957, "lattice_angstrom": [[0.000, 3.616, 3.616], [3.616, 0.000, 3.616], [3.616, 3.616, 0.000]], "species": ["Pm", "Pm", "Ga", "P"], "fractional_positions": [[0.250, 0.250, 0.250], [0.750, 0.750, 0.750], [0.000, 0.000, 0.000], [0.500, 0.500, 0.500]]}

=====

B.
{"formula": "Pm2GaP", "functional": "PBE", "state": "optimized geometry", "n_ef_per_ev_atom": 0.483, "lattice_angstrom": [[3.716, 0.000, 0.000], [0.000, 3.716, 0.000], [0.000, 0.000, 6.782]], "species": ["Pm", "Pm", "Ga", "P"], "fractional_positions": [[0.000, 0.000, 0.235], [0.000, 0.000, 0.765], [0.500, 0.500, 0.500], [0.500, 0.500, 0.000]]}

=====

Taking the most stable structure as the zero point, the relative energies in meV per atom are A 182; B 0.

=====

A.
{"formula": "Pr2GaP", "functional": "PBE", "state": "optimized geometry", "n_ef_per_ev_atom": 0.967, "lattice_angstrom": [[1.965, 1.134, 9.711], [-1.965, 1.134, 9.711], [0.000, -2.268, 9.711]], "species": ["Pr", "Pr", "Ga", "P"], "fractional_positions": [[0.109, 0.109, 0.109], [0.891, 0.891, 0.891], [0.000, 0.000, 0.000], [0.500, 0.500, 0.500]]}

=====

B.
{"formula": "Pr2GaP", "functional": "PBE", "state": "optimized geometry", "n_ef_per_ev_atom": 0.761, "lattice_angstrom": [[2.096, -12.182, 0.000], [2.096, 12.182, 0.000], [0.000, 0.000, 4.252]], "species": ["Pr", "Pr", "Pr", "Pr", "Ga", "Ga", "P", "P"], "fractional_positions": [[0.071, 0.929, 0.750], [0.309, 0.691, 0.750], [0.691, 0.309, 0.250], [0.929, 0.071, 0.250], [0.467, 0.533, 0.750], [0.533, 0.467, 0.250], [0.189, 0.811, 0.750], [0.811, 0.189, 0.250]]}

=====

Taking the most stable structure as the zero point, the relative energies in meV per atom are A 523; B 0.

=====

A.
{"formula": "GaPPt2", "functional": "PBE", "state": "optimized geometry", "n_ef_per_ev_atom": 0.493, "lattice_angstrom": [[0.000, 3.120, 3.120], [3.120, 0.000, 3.120], [3.120, 3.120, 0.000]], "species": ["Ga", "P", "Pt", "Pt"], "fractional_positions": [[0.000, 0.000, 0.000], [0.500, 0.500, 0.500], [0.250, 0.250, 0.250], [0.750, 0.750, 0.750]]}

=====

B.
{"formula": "GaPPt2", "functional": "PBE", "state": "optimized geometry", "n_ef_per_ev_atom": 0.095, "lattice_angstrom": [[-2.070, 2.070, 7.861], [2.070, -2.070, 7.861], [2.070, 2.070, -7.861]], "species": ["Ga", "Ga", "P", "P", "Pt", "Pt", "Pt", "Pt"], "fractional_positions": [[0.000, 0.000, 0.000], [0.750, 0.250, 0.500], [0.250, 0.750, 0.500], [0.500, 0.500, 0.000], [0.150, 0.625, 0.025], [0.375, 0.400, 0.525], [0.600, 0.125, 0.975], [0.875, 0.850, 0.475]]}

=====

Taking the most stable structure as the zero point, the relative energies in meV per atom are A 264; B 0.

=====

A.
{"formula": "GaPPtS2", "functional": "PBE", "state": "optimized geometry", "n_ef_per_ev_atom": 1.369, "lattice_angstrom": [[5.065, 0.000, 0.000], [0.000, 5.065, 0.000], [0.000, 0.000, 4.380]], "species": ["Ga", "P", "Pt", "S", "S"], "fractional_positions": [[0.000, 0.000, 0.000], [0.500, 0.500, 0.000], [0.500, 0.500, 0.500], [0.000, 0.500, 0.500], [0.500, 0.000, 0.500]]}

=====

B.
{"formula": "GaPPtS2", "functional": "PBE", "state": "optimized geometry", "n_ef_per_ev_atom": 1.047, "lattice_angstrom": [[4.572, 0.000, 0.000], [0.000, 4.572, 0.000], [0.000, 0.000, 4.670]], "species": ["Ga", "P", "Pt", "S", "S"], "fractional_positions": [[0.000, 0.000, 0.000], [0.000, 0.000, 0.500], [0.500, 0.500, 0.500], [0.000, 0.500, 0.000], [0.500, 0.000, 0.000]]}

=====

Taking the most stable structure as the zero point, the relative energies in meV per atom are A 0; B 501.

=====

A.
{"formula": "Pu2GaP", "functional": "PBE", "state": "optimized geometry", "n_ef_per_ev_atom": 2.929, "lattice_angstrom": [[3.668, 0.000, 0.000], [0.000, 3.668, 0.000], [0.000, 0.000, 6.269]], "species": ["Pu", "Pu", "Ga", "P"], "fractional_positions": [[0.000, 0.000, 0.228], [0.000, 0.000, 0.772], [0.500, 0.500, 0.500], [0.500, 0.500, 0.000]]}

=====

B.
{"formula": "Pu2GaP", "functional": "PBE", "state": "optimized geometry", "n_ef_per_ev_atom": 4.775, "lattice_angstrom": [[1.926, 1.112, 7.661], [-1.926, 1.112, 7.661], [0.000, -2.223, 7.661]], "species": ["Pu", "Pu", "Ga", "P"], "fractional_positions": [[0.240, 0.240, 0.240], [0.760, 0.760, 0.760], [0.000, 0.000, 0.000], [0.500, 0.500, 0.500]]}

=====

Taking the most stable structure as the zero point, the relative energies in meV per atom are A 0; B 112.